[1]
First-principles (PBE) data for an optimized crystal structure of SrBiPPb2, as listed in the Alexandria database.

a = 6.243 Å, b = 6.243 Å, c = 6.036 Å
α = 90.00°, β = 90.00°, γ = 90.00°
Space group P4/mmm (No. 123)
Symmetry-distinct sites (fractional):
Sr  0.000  0.000  0.000 [1 per cell]
Bi  0.000  0.000  0.500 [1 per cell]
P  0.500  0.500  0.500 [1 per cell]
Pb  0.000  0.500  0.000 [2 per cell]

Results
DFT formation energy in eV/atom: 1.214
Magnetic moment in μB per atom: 0.42

---

[2]
First-principles (PBE) data for an optimized crystal structure of V2BiPPb, as listed in the Alexandria database.

a = 5.178 Å, b = 5.178 Å, c = 6.018 Å
α = 90.00°, β = 90.00°, γ = 90.00°
Space group P4/mmm (No. 123)
Symmetry-distinct sites (fractional):
V  0.000  0.500  0.000 [2 per cell]
Bi  0.000  0.000  0.000 [1 per cell]
P  0.500  0.500  0.500 [1 per cell]
Pb  0.000  0.000  0.500 [1 per cell]

Results
DFT formation energy in eV/atom: 1.506
Magnetic moment in μB per atom: 1.21